A plane-wave DFT calculation with PBE-GGA was carried out for a relaxed Y4Tm4Sc crystal.

Cell: 12.1775 12.1775 12.1775 Å, 155.25 155.25 35.29°
Sites, in units of the cell vectors:
Y1 0.0000 0.5000 0.5000
Y2 0.2496 0.2496 0.0000
Y3 0.5000 0.0000 0.5000
Y4 0.7504 0.7504 0.0000
Tm1 0.1271 0.1271 0.5038
Tm2 0.3767 0.8729 0.0000
Tm3 0.6233 0.6233 0.4962
Tm4 0.8729 0.3767 0.0000
Sc1 0.5000 0.5000 0.0000

Values from the calculation:
Symmetry ... No. 121
Energy above the most stable polymorph in this dataset ... 0.689 eV per atom
Formation energy from the elements ... 729 meV per atom
Density ... 5.7 g/cm3